TlCuTe3 | PBE | optimized geometry

a = 5.259 Å, b = 5.259 Å, c = 5.259 Å
α = 90.00°, β = 90.00°, γ = 90.00°
Fractional positions:
Tl: 0.500 0.500 0.500
Te: 0.000 0.500 0.000
Te: 0.000 0.000 0.500
Te: 0.500 0.000 0.000
Cu: 0.000 0.000 0.000

Results
Calculated density: 7429 kg/m3
Energy above the lowest structure with this stoichiometry: 0.217 eV per atom
Size of the total moment: 0.0 μB/f.u.
E_form (uncorrected): 0.16 eV per atom
E_tot: -0.1111 hartree per atom